# 1
# Y2InBr

Crystalline Y2InBr at its relaxed geometry (PBE, Alexandria via LeMat-Bulk).

Unit cell a=9.469 b=9.469 c=9.469 alpha=22.57 beta=22.57 gamma=22.57
Sites, in units of the cell vectors:
Y 0.998 0.998 0.998
Y 0.502 0.502 0.502
Br 0.250 0.250 0.250
In 0.750 0.750 0.750

Computed properties:
energy above the lowest structure with this stoichiometry: 1.432 kcal/mol of atoms
DOS at the Fermi energy: 2.507 states/eV per cell
M_tot: 0.00 μB/atom
calculated total energy: -5.02 eV per atom

=====

# 2
# YIn2Br

Crystalline YIn2Br at its relaxed geometry (PBE, Alexandria via LeMat-Bulk).

Unit cell a=5.200 b=5.200 c=5.200 alpha=113.50 beta=113.50 gamma=101.69
Sites, in units of the cell vectors:
Br 0.750 0.250 0.500
In 0.000 0.000 0.000
In 0.250 0.750 0.500
Y 0.500 0.500 0.000

Computed properties:
energy above the lowest structure with this stoichiometry: 4.633 kcal/mol of atoms
DOS at the Fermi energy: 1.575 states/eV per cell
M_tot: 0.00 μB/atom
calculated total energy: -3.80 eV per atom

=====

# 3
# YIn2Br

Crystalline YIn2Br at its relaxed geometry (PBE, Alexandria via LeMat-Bulk).

Unit cell a=6.558 b=6.558 c=5.805 alpha=63.75 beta=63.75 gamma=30.93
Sites, in units of the cell vectors:
Br 0.216 0.216 0.286
Y 0.516 0.516 0.482
In 0.002 0.002 0.996
In 0.766 0.766 0.736

Computed properties:
energy above the lowest structure with this stoichiometry: 2.271 kcal/mol of atoms
DOS at the Fermi energy: 2.343 states/eV per cell
M_tot: 0.00 μB/atom
calculated total energy: -3.90 eV per atom

=====

# 4
# Y2InBr4

Crystalline Y2InBr4 at its relaxed geometry (PBE, Alexandria via LeMat-Bulk).

Unit cell a=6.101 b=6.101 c=8.646 alpha=69.34 beta=69.34 gamma=90.00
Site moments in Bohr magnetons follow the coordinates.
Sites, in units of the cell vectors:
Br 0.214 0.214 0.573  0.02
Br 0.000 0.500 0.000  0.00
Br 0.500 0.000 0.000  0.00
Br 0.786 0.786 0.427  0.02
Y 0.601 0.601 0.797  0.82
Y 0.399 0.399 0.203  0.82
In 0.000 0.000 0.000  0.03

Computed properties:
DOS at the Fermi energy: 4.274 states/eV per cell
M_tot: 0.42 μB/atom
calculated total energy: -3.79 eV per atom

=====

# 5
# Y4InBr

Crystalline Y4InBr at its relaxed geometry (PBE, Alexandria via LeMat-Bulk).

Unit cell a=6.428 b=6.428 c=6.428 alpha=60.00 beta=60.00 gamma=60.00
Sites, in units of the cell vectors:
Y 0.373 0.881 0.373
Y 0.373 0.373 0.373
Y 0.881 0.373 0.373
Y 0.373 0.373 0.881
Br 0.750 0.750 0.750
In 0.000 0.000 0.000

Computed properties:
DOS at the Fermi energy: 7.918 states/eV per cell
M_tot: 0.00 μB/atom
calculated total energy: -4.87 eV per atom

=====

# 6
# YIn2Br

Crystalline YIn2Br at its relaxed geometry (PBE, Alexandria via LeMat-Bulk).

Unit cell a=3.468 b=3.468 c=9.956 alpha=90.00 beta=90.00 gamma=90.00
Sites, in units of the cell vectors:
Br 0.500 0.500 0.676
In 0.500 0.500 0.280
In 0.000 0.000 0.044
Y 0.000 0.000 0.500

Computed properties:
energy above the lowest structure with this stoichiometry: 0.000 kcal/mol of atoms
DOS at the Fermi energy: 2.639 states/eV per cell
M_tot: 0.00 μB/atom
calculated total energy: -4.00 eV per atom

=====

# 7
# YIn2Br

Crystalline YIn2Br at its relaxed geometry (PBE, Alexandria via LeMat-Bulk).

Unit cell a=3.585 b=3.585 c=9.783 alpha=90.00 beta=90.00 gamma=115.39
Sites, in units of the cell vectors:
In 0.000 0.000 0.507
In 0.000 0.000 0.993
Br 0.500 0.500 0.750
Y 0.500 0.500 0.250

Computed properties:
energy above the lowest structure with this stoichiometry: 8.613 kcal/mol of atoms
DOS at the Fermi energy: 3.569 states/eV per cell
M_tot: 0.00 μB/atom
calculated total energy: -3.62 eV per atom

=====

# 8
# ZnInBr2

Crystalline ZnInBr2 at its relaxed geometry (PBE, Alexandria via LeMat-Bulk).

Unit cell a=6.118 b=6.118 c=6.118 alpha=144.14 beta=111.11 gamma=80.18
Sites, in units of the cell vectors:
Br 0.060 0.060 0.000
Br 0.712 0.212 0.500
Zn 0.250 0.750 0.500
In 0.477 0.477 0.000

Computed properties:
energy above the lowest structure with this stoichiometry: 4.764 kcal/mol of atoms
DOS at the Fermi energy: 0.488 states/eV per cell
M_tot: 0.00 μB/atom
calculated total energy: -2.23 eV per atom

=====

no.,ΔE_f (raw) (kcal/mol of atoms)
1,-15.7
2,-9.1
3,-11.4
4,-13.7
5,3.9
6,-13.7
7,-5.1
8,-8.9